# 1
# MgCu2O4

A PBEsol-optimized structure of MgCu2O4 (meta-GGA SCAN, Alexandria).

Lattice parameters (Å, degrees): 4.967 4.967 9.204 90.00 90.00 146.03
Positions (direct):
Mg 0.108 0.892 0.750
Mg 0.892 0.108 0.250
Cu 0.367 0.633 0.571
Cu 0.367 0.633 0.929
Cu 0.633 0.367 0.071
Cu 0.633 0.367 0.429
O 0.000 0.000 0.000
O 0.000 0.000 0.500
O 0.279 0.721 0.114
O 0.279 0.721 0.386
O 0.458 0.542 0.750
O 0.542 0.458 0.250
O 0.721 0.279 0.614
O 0.721 0.279 0.886

The value obtained for the relative energy among the computed polymorphs is 124 meV/atom. Its uncorrected formation energy is -1.2218 eV per atom.

# 2
# BaZnCu2S

A PBEsol-optimized structure of BaZnCu2S (meta-GGA SCAN, Alexandria).

Lattice parameters (Å, degrees): 4.447 4.447 5.942 90.00 90.00 90.00
Positions (direct):
Ba 0.000 0.000 0.000
Zn 0.500 0.500 0.000
Cu 0.000 0.500 0.500
Cu 0.500 0.000 0.500
S 0.000 0.000 0.500

Its uncorrected formation energy is 0.0424 eV per atom.

# 3
# KMn4Si

A PBEsol-optimized structure of KMn4Si (meta-GGA SCAN, Alexandria).

Lattice parameters (Å, degrees): 4.818 4.818 4.818 60.00 60.00 60.00
Positions (direct):
K 0.000 0.000 0.000
Mn 0.377 0.377 0.377
Mn 0.377 0.377 0.868
Mn 0.377 0.868 0.377
Mn 0.868 0.377 0.377
Si 0.750 0.750 0.750

Its uncorrected formation energy is 1.1780 eV per atom.

# 4
# K2HgBr

A PBEsol-optimized structure of K2HgBr (meta-GGA SCAN, Alexandria).

Lattice parameters (Å, degrees): 5.794 5.794 5.794 60.00 60.00 60.00
Positions (direct):
K 0.250 0.250 0.250
K 0.750 0.750 0.750
Hg 0.000 0.000 0.000
Br 0.500 0.500 0.500

The value obtained for the relative energy among the computed polymorphs is 165 meV/atom. Its uncorrected formation energy is -0.8900 eV per atom.

# 5
# YSiP2

A PBEsol-optimized structure of YSiP2 (meta-GGA SCAN, Alexandria).

Lattice parameters (Å, degrees): 6.770 6.770 6.770 30.87 30.87 30.87
Positions (direct):
Y 0.000 0.000 0.000
Si 0.500 0.500 0.500
P 0.236 0.236 0.236
P 0.764 0.764 0.764

Its uncorrected formation energy is -0.5773 eV per atom.

# 6
# SbPb2Cl

A PBEsol-optimized structure of SbPb2Cl (meta-GGA SCAN, Alexandria).

Lattice parameters (Å, degrees): 3.431 5.811 5.806 90.00 90.09 90.00
Positions (direct):
Sb 0.000 0.000 0.000
Pb 0.403 0.500 0.000
Pb 0.596 0.000 0.500
Cl 0.507 0.500 0.500

The value obtained for the relative energy among the computed polymorphs is 95 meV/atom. Its uncorrected formation energy is -0.3535 eV per atom.

# 7
# SiMoPb2

A PBEsol-optimized structure of SiMoPb2 (meta-GGA SCAN, Alexandria).

Lattice parameters (Å, degrees): 3.259 3.259 8.265 90.00 90.00 90.00
Positions (direct):
Si 0.000 0.000 0.000
Mo 0.500 0.500 0.113
Pb 0.000 0.000 0.367
Pb 0.500 0.500 0.736

Its uncorrected formation energy is 0.2304 eV per atom.

# 8
# CaTlCd2

A PBEsol-optimized structure of CaTlCd2 (meta-GGA SCAN, Alexandria).

Lattice parameters (Å, degrees): 5.144 5.144 5.144 60.00 60.00 60.00
Positions (direct):
Ca 0.000 0.000 0.000
Tl 0.500 0.500 0.500
Cd 0.250 0.250 0.250
Cd 0.750 0.750 0.750

The value obtained for the relative energy among the computed polymorphs is 66 meV/atom. The value obtained for the calculated formation energy is -0.23 eV per atom.

# 9
# BaTlCrH2

A PBEsol-optimized structure of BaTlCrH2 (meta-GGA SCAN, Alexandria).

Lattice parameters (Å, degrees): 4.520 4.520 6.905 90.00 90.00 90.00
Positions (direct):
Ba 0.000 0.000 0.000
Tl 0.000 0.000 0.500
Cr 0.500 0.500 0.500
H 0.000 0.500 0.000
H 0.500 0.000 0.000

# 10
# LaNd3

A PBEsol-optimized structure of LaNd3 (meta-GGA SCAN, Alexandria).

Lattice parameters (Å, degrees): 5.107 5.107 5.107 90.00 90.00 90.00
Positions (direct):
La 0.000 0.000 0.000
Nd 0.000 0.500 0.500
Nd 0.500 0.000 0.500
Nd 0.500 0.500 0.000

The value obtained for the relative energy among the computed polymorphs is 0 meV/atom. The value obtained for the calculated formation energy is 0.01 eV per atom.

# 11
# LiTcPt

A PBEsol-optimized structure of LiTcPt (meta-GGA SCAN, Alexandria).

Lattice parameters (Å, degrees): 4.190 4.190 2.617 90.00 90.00 120.00
Positions (direct):
Li 0.000 0.000 0.000
Tc 0.333 0.667 0.614
Pt 0.667 0.333 0.173

The value obtained for the relative energy among the computed polymorphs is 0 meV/atom. The value obtained for the calculated formation energy is -0.11 eV per atom.

# 12
# Cd4Pt

A PBEsol-optimized structure of Cd4Pt (meta-GGA SCAN, Alexandria).

Lattice parameters (Å, degrees): 5.138 5.138 5.138 99.49 99.49 132.09
Positions (direct):
Cd 0.104 0.294 0.398
Cd 0.294 0.896 0.190
Cd 0.706 0.104 0.810
Cd 0.896 0.706 0.602
Pt 0.500 0.500 0.000

The value obtained for the calculated formation energy is -0.18 eV per atom.

no.,N(E_F) (states/eV per atom),total energy (eV per atom)
1,0.429,-9.84
2,0.586,-18.58
3,1.089,-14.05
4,0.777,-26.96
5,0.443,-15.24
6,0.371,-49.55
7,0.603,-48.89
8,0.364,-35.94
9,0.598,-26.86
10,1.519,-43.45
11,0.742,-35.99
12,0.245,-38.55